PBE-GGA Er4MgHg2, optimized geometry; M_tot = 0.0 μB/f.u.; DFT formation energy = -0.214 eV/atom; total DFT energy (no corrections) = -21.95 eV/f.u.
1.0
-3.625 -3.632 -0.616
1.322 -4.719 -1.641
0.306 -5.164 6.957
Er Hg Mg
4 2 1
direct
0.389 0.389 0.834
0.867 0.867 0.399
0.611 0.611 0.166
0.133 0.133 0.601
0.260 0.260 0.221
0.740 0.740 0.779
0.000 0.000 0.000

---

PBE-GGA Er8Mg2Hg, optimized geometry; M_tot = 0.0 μB/f.u.; DFT formation energy = -0.014 eV/atom; total DFT energy (no corrections) = -40.15 eV/f.u.
1.0
5.285 0.000 0.000
0.000 7.145 0.140
-2.642 -2.888 8.325
Er Hg Mg
8 1 2
direct
0.021 0.765 0.042
0.192 0.273 0.383
0.595 0.453 0.190
0.335 0.048 0.671
0.665 0.952 0.329
0.808 0.727 0.617
0.979 0.235 0.958
0.405 0.547 0.810
0.500 0.000 0.000
0.813 0.305 0.626
0.187 0.695 0.374

---

PBE-GGA Er3Mg4Hg4, optimized geometry; M_tot = 0.0 μB/f.u.; DFT formation energy = -0.322 eV/atom; total DFT energy (no corrections) = -24.82 eV/f.u.
1.0
3.869 0.000 0.000
0.000 8.499 0.000
-1.935 -4.249 8.127
Hg Mg Er
4 4 3
direct
0.245 0.745 0.491
0.755 0.255 0.509
0.500 0.210 0.000
0.500 0.790 0.000
0.332 0.522 0.664
0.668 0.858 0.336
0.668 0.478 0.336
0.332 0.142 0.664
0.891 0.891 0.782
0.109 0.109 0.218
0.000 0.500 0.000